*1*
Pr5Sn | PBE | optimized geometry

Cell: 11.5912 4.9501 7.3490 Å, 90.00 109.60 90.00°
With the nearest neighbours (Å) after each atom.
Space group C2/m (No. 12)
One atom of each set of equivalent atoms:
Pr 0.0000 0.0000 0.0000 [2 per cell]  10 Pr 3.54-3.83, 2 Sn 3.67
Pr 0.1495 0.5000 0.8158 [4 per cell]  2 Sn 3.44, 10 Pr 3.54-3.83
Pr 0.1818 0.5000 0.3409 [4 per cell]  9 Pr 3.41-3.75, 3 Sn 3.48-3.69
Sn 0.0000 0.0000 0.5000 [2 per cell]  12 Pr 3.44-3.69

* N(E_F): 14.40 states/eV/cell

*2*
Pr5Sn | PBE | optimized geometry

Cell: 4.9934 15.8344 5.0174 Å, 90.00 90.00 90.00°
With the nearest neighbours (Å) after each atom.
Space group Cmmm (No. 65)
One atom of each set of equivalent atoms:
Pr 0.0000 0.0000 0.0000 [2 per cell]  4 Sn 3.54, 8 Pr 3.56-3.57
Pr 0.0000 0.1601 0.5000 [4 per cell]  10 Pr 3.54-3.79, 2 Sn 3.56
Pr 0.0000 0.3398 0.0000 [4 per cell]  10 Pr 3.54-3.79, 2 Sn 3.57
Sn 0.0000 0.5000 0.5000 [2 per cell]  12 Pr 3.54-3.57

* N(E_F): 14.22 states/eV/cell

Comparing the structures above, *2* comes out on top by 2.1 kJ/mol of atoms.